# 1
ErAlGeO5 | SCAN | single point on PBEsol structure

Summary:
E = -16.60 eV per atom
Formation energy without anion corrections = -3.05 eV per atom

POSCAR file:
```
ErAlGeO5
1.0
7.176 0.000 0.000
0.000 8.284 0.000
0.000 0.000 5.597
Er Al Ge O
4 4 4 20
Direct
0.141 0.173 0.000
0.359 0.673 0.000
0.641 0.327 0.000
0.859 0.827 0.000
0.000 0.500 0.248
0.000 0.500 0.752
0.500 0.000 0.248
0.500 0.000 0.752
0.120 0.854 0.500
0.380 0.354 0.500
0.620 0.646 0.500
0.880 0.146 0.500
0.000 0.000 0.283
0.000 0.000 0.717
0.108 0.712 0.250
0.108 0.712 0.750
0.152 0.429 0.500
0.165 0.445 0.000
0.335 0.945 0.000
0.348 0.929 0.500
0.392 0.212 0.250
0.392 0.212 0.750
0.500 0.500 0.283
0.500 0.500 0.717
0.608 0.788 0.250
0.608 0.788 0.750
0.652 0.071 0.500
0.665 0.055 0.000
0.835 0.555 0.000
0.848 0.571 0.500
0.892 0.288 0.250
0.892 0.288 0.750
```


# 2
Er3Al2Ni6H7 | SCAN | single point on PBEsol structure

Summary:
E = -16.50 eV per atom

POSCAR file:
```
Er3Al2Ni6H7
1.0
-4.486 4.486 4.486
4.486 -4.486 4.486
4.486 4.486 -4.486
Er Al Ni H
6 4 12 14
Direct
0.000 0.282 0.282
0.000 0.718 0.718
0.282 0.000 0.282
0.282 0.282 0.000
0.718 0.000 0.718
0.718 0.718 0.000
0.000 0.000 0.500
0.000 0.500 0.000
0.500 0.000 0.000
0.500 0.500 0.500
0.000 0.333 0.667
0.000 0.667 0.333
0.333 0.000 0.667
0.333 0.333 0.666
0.333 0.666 0.333
0.333 0.667 0.000
0.334 0.667 0.667
0.666 0.333 0.333
0.667 0.000 0.333
0.667 0.333 0.000
0.667 0.334 0.667
0.667 0.667 0.334
0.000 0.000 0.245
0.000 0.000 0.755
0.000 0.245 0.000
0.000 0.755 0.000
0.245 0.000 0.000
0.245 0.245 0.245
0.250 0.500 0.750
0.250 0.750 0.500
0.500 0.250 0.750
0.500 0.750 0.250
0.750 0.250 0.500
0.750 0.500 0.250
0.755 0.000 0.000
0.755 0.755 0.755
```


# 3
Er2MgAl | SCAN | single point on PBEsol structure

Summary:
E = -28.63 eV per atom

POSCAR file:
```
Er2MgAl
1.0
0.000 3.597 3.597
3.597 0.000 3.597
3.597 3.597 0.000
Er Mg Al
2 1 1
Direct
0.250 0.250 0.250
0.750 0.750 0.750
0.000 0.000 0.000
0.500 0.500 0.500
```


> What is the E in the third record?

-28.63 eV per atom


> Look up the E of the first one.

-16.60 eV per atom


> Among the records above, which one has the lowest E?

Er2MgAl